VASP calculation (PBE) on a relaxed Tl2GaSe3 crystal.

## Properties
- total moment (μB/f.u.) = 0.0
- SG = C2/c, No. 15
- energy (eV/atom) = -3.398
- energy relative to the elements, uncorrected (meV per atom) = -363

Cell and atoms, written as POSCAR:
```
Tl2GaSe3
1.0
-0.814 -2.106 -7.259
-2.642 -6.669 0.730
-7.152 -0.786 -0.471
Se Tl Ga
6 4 2
direct
0.525 0.211 0.067 Se
0.250 0.395 0.605 Se
0.975 0.933 0.789 Se
0.750 0.605 0.395 Se
0.025 0.067 0.211 Se
0.475 0.789 0.933 Se
0.860 0.512 0.815 Tl
0.140 0.488 0.185 Tl
0.360 0.815 0.512 Tl
0.640 0.185 0.488 Tl
0.250 0.076 0.924 Ga
0.750 0.924 0.076 Ga
```